No. 1
Below is a geometry-optimized MnMoHOs structure, with properties calculated at the PBE level.

Results
space-group type: Pm
excess energy over the best structure of this formula in the dataset: 114.6 meV per atom
D(E_F): 2.5 states/eV/f.u.

a = 4.2651 Å, b = 2.7523 Å, c = 4.2698 Å
α = 90.00°, β = 119.91°, γ = 90.00°
Sites, in units of the cell vectors:
Mn1 0.0000 0.0000 0.0000
Mo1 0.3481 0.0000 0.6905
H1 0.2248 0.5000 0.3007
Os1 0.6870 0.5000 0.3500



No. 2
Below is a geometry-optimized ScNi2Ru structure, with properties calculated at the PBE level.

Results
space-group type: R-3m
E_form: 0.8 eV/f.u.
D(E_F): 5.4 states/eV/f.u.

a = 2.7448 Å, b = 2.7448 Å, c = 25.7290 Å
α = 90.00°, β = 90.00°, γ = 120.00°
Sites, in units of the cell vectors:
Sc1 0.0000 0.0000 0.0000
Sc2 0.3333 0.6667 0.6667
Sc3 0.6667 0.3333 0.3333
Ni1 0.0000 0.0000 0.2469
Ni2 0.0000 0.0000 0.7531
Ni3 0.3333 0.6667 0.4198
Ni4 0.3333 0.6667 0.9136
Ni5 0.6667 0.3333 0.0864
Ni6 0.6667 0.3333 0.5802
Ru1 0.0000 0.0000 0.5000
Ru2 0.3333 0.6667 0.1667
Ru3 0.6667 0.3333 0.8333



No. 3
Below is a geometry-optimized Tl12Hg3Bi5 structure, with properties calculated at the PBE level.

Results
space-group type: Ia-3d
E_form: 2.9 eV/f.u.
D(E_F): 11.8 states/eV/f.u.

a = 15.9043 Å, b = 15.9043 Å, c = 15.9043 Å
α = 109.47°, β = 109.47°, γ = 109.47°
Sites, in units of the cell vectors:
Tl1 0.0629 0.2336 0.1284
Tl2 0.0629 0.3293 0.9345
Tl3 0.0655 0.6284 0.3948
Tl4 0.0655 0.9371 0.6707
Tl5 0.1052 0.7336 0.6707
Tl6 0.1052 0.8716 0.4345
Tl7 0.1284 0.0629 0.2336
Tl8 0.1284 0.5655 0.8948
Tl9 0.1707 0.2336 0.6052
Tl10 0.1707 0.4371 0.5655
Tl11 0.2336 0.1284 0.0629
Tl12 0.2336 0.6052 0.1707
Tl13 0.2664 0.3293 0.8948
Tl14 0.2664 0.4371 0.3716
Tl15 0.3293 0.8948 0.2664
Tl16 0.3293 0.9345 0.0629
Tl17 0.3716 0.2664 0.4371
Tl18 0.3716 0.6052 0.9345
Tl19 0.3948 0.0655 0.6284
Tl20 0.3948 0.8293 0.7664
Tl21 0.4345 0.1052 0.8716
Tl22 0.4345 0.8293 0.5629
Tl23 0.4371 0.3716 0.2664
Tl24 0.4371 0.5655 0.1707
Tl25 0.5629 0.4345 0.8293
Tl26 0.5629 0.6284 0.7336
Tl27 0.5655 0.1707 0.4371
Tl28 0.5655 0.8948 0.1284
Tl29 0.6052 0.1707 0.2336
Tl30 0.6052 0.9345 0.3716
Tl31 0.6284 0.3948 0.0655
Tl32 0.6284 0.7336 0.5629
Tl33 0.6707 0.0655 0.9371
Tl34 0.6707 0.1052 0.7336
Tl35 0.7336 0.5629 0.6284
Tl36 0.7336 0.6707 0.1052
Tl37 0.7664 0.3948 0.8293
Tl38 0.7664 0.8716 0.9371
Tl39 0.8293 0.5629 0.4345
Tl40 0.8293 0.7664 0.3948
Tl41 0.8716 0.4345 0.1052
Tl42 0.8716 0.9371 0.7664
Tl43 0.8948 0.1284 0.5655
Tl44 0.8948 0.2664 0.3293
Tl45 0.9345 0.0629 0.3293
Tl46 0.9345 0.3716 0.6052
Tl47 0.9371 0.6707 0.0655
Tl48 0.9371 0.7664 0.8716
Hg1 0.1250 0.2500 0.3750
Hg2 0.1250 0.3750 0.7500
Hg3 0.2500 0.3750 0.1250
Hg4 0.2500 0.8750 0.6250
Hg5 0.3750 0.1250 0.2500
Hg6 0.3750 0.7500 0.1250
Hg7 0.6250 0.2500 0.8750
Hg8 0.6250 0.8750 0.7500
Hg9 0.7500 0.1250 0.3750
Hg10 0.7500 0.6250 0.8750
Hg11 0.8750 0.6250 0.2500
Hg12 0.8750 0.7500 0.6250
Bi1 0.0000 0.0000 0.0000
Bi2 0.0000 0.0000 0.5000
Bi3 0.0000 0.5000 0.0000
Bi4 0.0000 0.5000 0.5000
Bi5 0.1250 0.7500 0.8750
Bi6 0.1250 0.8750 0.2500
Bi7 0.2500 0.1250 0.8750
Bi8 0.2500 0.6250 0.3750
Bi9 0.3750 0.2500 0.6250
Bi10 0.3750 0.6250 0.7500
Bi11 0.5000 0.0000 0.0000
Bi12 0.5000 0.0000 0.5000
Bi13 0.5000 0.5000 0.0000
Bi14 0.5000 0.5000 0.5000
Bi15 0.6250 0.3750 0.2500
Bi16 0.6250 0.7500 0.3750
Bi17 0.7500 0.3750 0.6250
Bi18 0.7500 0.8750 0.1250
Bi19 0.8750 0.1250 0.7500
Bi20 0.8750 0.2500 0.1250



No. 4
Below is a geometry-optimized ZnCd2Te structure, with properties calculated at the PBE level.

Results
space-group type: I-4m2
excess energy over the best structure of this formula in the dataset: 100.4 meV per atom
D(E_F): 1.3 states/eV/f.u.
formation energy (no corrections): 0.078 eV/atom

a = 4.1303 Å, b = 4.1303 Å, c = 12.5224 Å
α = 90.00°, β = 90.00°, γ = 90.00°
Sites, in units of the cell vectors:
Zn1 0.0000 0.0000 0.0000
Zn2 0.5000 0.5000 0.5000
Cd1 0.0000 0.0000 0.5000
Cd2 0.0000 0.5000 0.7500
Cd3 0.5000 0.0000 0.2500
Cd4 0.5000 0.5000 0.0000
Te1 0.0000 0.5000 0.2500
Te2 0.5000 0.0000 0.7500